DFT (GGA-PBE) results for crystalline YOsRu2 at its relaxed geometry.

Values from the calculation:
E = -35.1 eV/cell
ΔE_f = 282.7 meV per atom
volume = 16.7 Å³/atom
magnetic moment = 0.000 μB per atom

The structure in POSCAR format:
```
YOsRu2
1.0
3.9711 0.0000 0.0000
0.0000 4.0960 0.0000
0.0000 0.0000 4.0960
Os Ru Y
1 2 1
Cartesian
1.9855 0.0000 2.0480
0.0000 0.0000 0.0000
0.0000 2.0480 2.0480
1.9855 2.0480 0.0000
```


DFT (GGA-PBE) results for crystalline HoAgPd4 at its relaxed geometry.

Values from the calculation:
E = -62.8 eV/cell
ΔE_f = -531.3 meV per atom
volume = 17.2 Å³/atom
magnetic moment = 0.000 μB per atom

The structure in POSCAR format:
```
HoAgPd4
1.0
4.8701 0.0000 0.5894
0.0000 5.9923 0.0000
-1.3431 0.0000 6.9209
Ho Ag Pd
2 2 8
Cartesian
0.4733 4.4942 2.3652
3.0537 1.4981 5.1452
3.0711 4.4942 5.0734
0.4559 1.4981 2.4369
0.6413 3.0305 4.8575
2.8856 0.0343 2.6528
0.6413 5.9580 4.8575
2.8856 2.9618 2.6528
0.0000 2.9962 0.0000
0.0000 0.0000 0.0000
1.1148 4.4942 7.2033
2.4122 1.4981 0.3070
```


DFT (GGA-PBE) results for crystalline LaTaZnTc2 at its relaxed geometry.

Values from the calculation:
E = -28.7 eV/cell
ΔE_f = 2015.4 meV per atom
volume = 22.1 Å³/atom
magnetic moment = 0.000 μB per atom

The structure in POSCAR format:
```
LaTaZnTc2
1.0
4.6867 0.0000 0.0000
0.0000 5.0372 0.0000
0.0000 0.0000 4.6867
Zn La Tc Ta
1 1 2 1
Cartesian
0.0000 2.5186 0.0000
0.0000 0.0000 0.0000
0.0000 0.0000 2.3433
2.3433 0.0000 0.0000
2.3433 2.5186 2.3433
```


DFT (GGA-PBE) results for crystalline Sr2CO4 at its relaxed geometry.

Values from the calculation:
E = -96.4 eV/cell
volume = 14.8 Å³/atom
formation energy from raw total energies = -2.254 eV per atom
magnetic moment = 0.000 μB per atom

The structure in POSCAR format:
```
Sr2CO4
1.0
5.3035 0.0000 0.0000
0.0000 6.2104 -1.4602
0.0000 -0.2784 6.3737
Sr C O
4 2 8
Cartesian
3.9776 5.5042 2.7078
1.3259 3.6852 4.9038
1.3259 0.4278 2.2057
3.9776 2.2468 0.0097
3.9776 5.1019 -0.1219
1.3259 0.8301 5.0354
3.9776 4.3901 4.9110
1.3259 5.6425 3.3990
1.3259 1.5418 0.0025
3.9776 0.2895 1.5144
5.1333 4.5615 0.5305
0.1702 1.3705 4.3829
2.8219 4.5615 0.5305
2.4815 1.3705 4.3829
```


E of number 1 (YOsRu2)? -35.1 eV/cell